Density functional theory data (PBE-GGA) for crystalline Sc3In at its relaxed geometry.

* spin magnetization: 1.47 μB per formula unit
* offset from the most stable computed form: 0.000 eV/atom
* calculated volume: 23.1 Å³/atom
* N(E_F): 4.81 states/eV/f.u.
* symmetry: P6_3/mmc
* DFT formation energy: -0.30 eV/atom

The structure in POSCAR format:
```
Sc3In
1.0
6.407 0.000 0.000
-3.204 5.549 0.000
0.000 0.000 5.209
Sc In
6 2
Cartesian
0.000 1.868 1.302 Sc
-1.586 4.615 1.302 Sc
1.618 0.934 3.907 Sc
1.586 4.615 1.302 Sc
4.789 0.934 3.907 Sc
3.204 3.680 3.907 Sc
0.000 3.699 3.907 In
3.204 1.850 1.302 In
```